Density functional theory data (PBE-GGA) for CeTh3Rh12 after structural relaxation.

Unit cell a=4.111 b=4.111 c=16.501 alpha=90.00 beta=90.00 gamma=90.00
Fractional coordinates of all 16 atoms:
Ce: 0.000 0.000 0.000
Th: 0.000 0.000 0.248
Th: 0.000 0.000 0.500
Th: 0.000 0.000 0.752
Rh: 0.500 0.500 0.000
Rh: 0.500 0.500 0.248
Rh: 0.500 0.500 0.500
Rh: 0.500 0.500 0.752
Rh: 0.500 0.000 0.121
Rh: 0.500 0.000 0.374
Rh: 0.500 0.000 0.626
Rh: 0.500 0.000 0.879
Rh: 0.000 0.500 0.121
Rh: 0.000 0.500 0.374
Rh: 0.000 0.500 0.626
Rh: 0.000 0.500 0.879

Results
Spin magnetization = 0.00 μB/cell
Energy relative to the elements = -696 meV/atom

Density functional theory data (PBE-GGA) for CeThRh4 after structural relaxation.

Unit cell a=5.388 b=5.388 c=5.388 alpha=60.00 beta=60.00 gamma=60.00
Fractional coordinates of all 6 atoms:
Rh: 0.625 0.625 0.124
Rh: 0.625 0.124 0.625
Rh: 0.625 0.625 0.625
Rh: 0.124 0.625 0.625
Ce: 0.000 0.000 0.000
Th: 0.250 0.250 0.250

Results
Spin magnetization = 0.00 μB/cell
Energy relative to the elements = -745 meV/atom

Density functional theory data (PBE-GGA) for CeTh2Rh after structural relaxation.

Unit cell a=6.330 b=7.074 c=9.946 alpha=90.00 beta=90.00 gamma=90.00
Site moments in Bohr magnetons follow the coordinates.
Fractional coordinates of all 16 atoms:
Ce: 0.658 0.540 0.250  0.36
Ce: 0.842 0.040 0.250  0.36
Ce: 0.342 0.460 0.750  0.36
Ce: 0.158 0.960 0.750  0.36
Th: 0.144 0.685 0.060  0.02
Th: 0.356 0.185 0.440  0.02
Th: 0.856 0.315 0.560  0.02
Th: 0.644 0.815 0.940  0.02
Th: 0.856 0.315 0.940  0.02
Th: 0.644 0.815 0.560  0.02
Th: 0.144 0.685 0.440  0.02
Th: 0.356 0.185 0.060  0.02
Rh: 0.093 0.380 0.250  -0.01
Rh: 0.407 0.880 0.250  -0.01
Rh: 0.907 0.620 0.750  -0.01
Rh: 0.593 0.120 0.750  -0.01

Results
Offset from the most stable computed form = 22 meV/atom
Spin magnetization = 1.94 μB/cell
Energy relative to the elements = -409 meV/atom

Density functional theory data (PBE-GGA) for Ce2ThRh3 after structural relaxation.

Unit cell a=5.726 b=8.098 c=6.993 alpha=106.78 beta=114.17 gamma=90.00
Fractional coordinates of all 12 atoms:
Ce: 0.667 0.583 0.332
Ce: 0.665 0.083 0.332
Ce: 0.335 0.917 0.668
Ce: 0.333 0.417 0.668
Th: 0.000 0.750 0.000
Th: 0.000 0.250 0.000
Rh: 0.500 0.250 0.000
Rh: 0.500 0.750 0.000
Rh: 0.169 0.085 0.340
Rh: 0.829 0.415 0.660
Rh: 0.171 0.585 0.340
Rh: 0.831 0.915 0.660

Results
Spin magnetization = 0.00 μB/cell
Energy relative to the elements = -765 meV/atom

Density functional theory data (PBE-GGA) for CeThRh after structural relaxation.

Unit cell a=3.682 b=3.682 c=5.849 alpha=108.35 beta=108.35 gamma=90.00
Site moments in Bohr magnetons follow the coordinates.
Fractional coordinates of all 3 atoms:
Rh: 0.662 0.662 0.325  -0.01
Th: 0.017 0.017 0.033  0.01
Ce: 0.321 0.321 0.642  0.14

Results
Offset from the most stable computed form = 0 meV/atom
Spin magnetization = 0.16 μB/cell
Energy relative to the elements = -473 meV/atom

Density functional theory data (PBE-GGA) for CeThRh2 after structural relaxation.

Unit cell a=4.064 b=4.064 c=7.013 alpha=73.16 beta=73.16 gamma=60.00
Fractional coordinates of all 4 atoms:
Rh: 0.752 0.752 0.745
Rh: 0.248 0.248 0.255
Ce: 0.500 0.500 0.500
Th: 0.000 0.000 0.000

Results
Spin magnetization = 0.00 μB/cell
Energy relative to the elements = -804 meV/atom

Taking the records one at a time from the top gives calculated volume values of 279, 111, 445, 281, 71, 95 Å³/cell.